# Li2ReNi, relaxed, DFT PBE
data_Li2ReNi
_chemical_formula_sum 'Li2 Re1 Ni1'
_cell_length_a 4.504
_cell_length_b 4.504
_cell_length_c 2.474
_cell_angle_alpha 90.00
_cell_angle_beta 90.00
_cell_angle_gamma 90.00
_symmetry_space_group_name_H-M 'P 4/m m m'
_symmetry_Int_Tables_number 123
_symmetry_space_group_name_Hall '-P 4 2'
loop_
_atom_site_label
_atom_site_type_symbol
_atom_site_fract_x
_atom_site_fract_y
_atom_site_fract_z
_atom_site_occupancy
Li1 Li 0.000 0.500 0.000 1
Re1 Re 0.000 0.000 0.500 1
Ni1 Ni 0.500 0.500 0.500 1
# - E_form: 0.574 eV/atom
# - Polymorph energy (0 for the lowest one): 464.2 meV/atom